No. 1
12
Lattice="-2.394 3.493 7.204 2.394 -3.493 7.204 2.394 3.493 -7.204" Properties=species:S:1:pos:R:3 comment="Tm6MgRh5 (PBE-GGA, relaxed)" e_form_mev_per_atom=-799 energy_ev_per_atom=-6.2305 sg="Immm (71)" n_ef_per_ev_fu=7.6 pbc="T T T"
Tm 2.394 1.690 -2.486
Tm 0.000 1.632 0.000
Tm 2.394 1.690 2.486
Tm 0.000 1.803 4.719
Tm 0.000 5.354 0.000
Tm 0.000 1.803 9.690
Mg 0.000 0.000 7.204
Rh 2.394 0.000 0.000
Rh 0.000 0.000 2.427
Rh 2.394 0.000 4.905
Rh 0.000 3.493 2.300
Rh 0.000 0.000 11.982

***

No. 2
6
Lattice="0.000 4.382 4.382 4.382 0.000 4.382 4.382 4.382 0.000" Properties=species:S:1:pos:R:3 comment="NaPuSn4 (PBE-GGA, relaxed)" e_form_mev_per_atom=-101 energy_ev_per_atom=-5.3780 sg="F-43m (216)" n_ef_per_ev_fu=17.3 pbc="T T T"
Na 0.000 0.000 0.000
Pu 2.191 2.191 2.191
Sn 5.475 3.289 3.289
Sn 3.289 5.475 3.289
Sn 3.289 3.289 5.475
Sn 5.475 5.475 5.475

***

No. 3
5
Lattice="4.818 0.000 0.000 0.000 4.818 0.000 0.000 0.000 4.818" Properties=species:S:1:pos:R:3 comment="Al3GaCu (PBE-GGA, relaxed)" e_form_mev_per_atom=786 energy_ev_per_atom=-2.8844 sg="Pm-3m (221)" n_ef_per_ev_fu=2.5 pbc="T T T"
Al 0.000 0.000 2.409
Al 0.000 2.409 0.000
Al 2.409 0.000 0.000
Ga 0.000 0.000 0.000
Cu 2.409 2.409 2.409

***

No. 4
8
Lattice="0.000 4.206 6.788 2.995 0.000 6.788 2.995 4.206 0.000" Properties=species:S:1:pos:R:3 comment="FePb (PBE-GGA, relaxed)" e_form_mev_per_atom=654 energy_ev_per_atom=-5.4320 sg="Fddd (70)" n_ef_per_ev_fu=1.9 pbc="T T T"
Fe 0.749 1.052 0.526
Fe 0.749 1.052 2.868
Fe 5.242 7.361 10.709
Fe 5.242 7.361 13.050
Pb 2.246 1.611 5.091
Pb 3.744 3.714 8.485
Pb 2.246 4.699 5.091
Pb 3.744 6.802 8.485

***

No. 5
12
Lattice="8.633 -1.939 0.000 8.633 1.939 0.000 -1.996 0.000 7.751" Properties=species:S:1:pos:R:3 comment="Sc6Si2PbSe3 (PBE-GGA, relaxed)" e_form_raw_ev_per_atom=-1.088 energy_ev_per_atom=-6.3375 sg="C2/m (12)" n_ef_per_ev_fu=3.5 pbc="T T T"
Sc -0.452 0.000 2.085
Sc 3.836 0.000 6.967
Sc 4.808 0.000 3.299
Sc 10.461 0.000 4.452
Sc 11.434 0.000 0.784
Sc 15.722 0.000 5.666
Si 2.211 0.000 2.587
Si 13.059 0.000 5.164
Pb 8.633 0.000 0.000
Se 1.182 0.000 6.443
Se 7.635 0.000 3.875
Se 14.087 0.000 1.308